BaAcP2Pt2: relaxed, GGA-PBE.

Lattice parameters (Å, degrees): 4.2668 4.2668 9.0750 90.00 90.00 120.00
Last column: nearest neighbours and their distance in Å.
Space group P-3m1 (No. 164)
Asymmetric unit:
Ba  0.0000  0.0000  0.0000  6 Pt 3.43, 6 P 3.44
Ac  0.0000  0.0000  0.5000  6 P 3.26, 6 Pt 3.27
P  0.3333  0.6667  0.7360  3 Pt 2.46
Pt  0.3333  0.6667  0.2625  3 P 2.46

Computed properties:
formation energy	-1190	meV per atom
volume	23.846	A^3/atom